Record 1
! KGaClF2 | Alexandria via LeMat-Bulk | GGA-PBE | relaxed; values from VASP
&SYSTEM
  ibrav = 0, nat = 5, ntyp = 4
/
ATOMIC_SPECIES
K 39.10 K.upf
F 19.00 F.upf
Ga 69.72 Ga.upf
Cl 35.45 Cl.upf
CELL_PARAMETERS angstrom
-1.516 -3.790 -1.438
3.820 -1.849 0.848
-1.628 -1.165 4.788
ATOMIC_POSITIONS crystal
K 0.500 0.500 0.500
F 0.000 0.500 0.000
F 0.500 0.000 0.000
Ga 0.000 0.000 0.000
Cl 0.000 0.000 0.500
! Magnetization   0.00 μB/f.u.
! Formation energy without anion corrections   -2.00 eV/atom
! Symmetry   P4/mmm (123)

Record 2
! MgGaClF2 | Alexandria via LeMat-Bulk | GGA-PBE | relaxed; values from VASP
&SYSTEM
  ibrav = 0, nat = 5, ntyp = 4
/
ATOMIC_SPECIES
Mg 24.30 Mg.upf
F 19.00 F.upf
Ga 69.72 Ga.upf
Cl 35.45 Cl.upf
CELL_PARAMETERS angstrom
4.038 0.000 0.000
0.000 4.038 0.000
0.000 0.000 5.227
ATOMIC_POSITIONS crystal
Mg 0.000 0.000 0.000
F 0.000 0.500 0.000
F 0.500 0.000 0.000
Ga 0.500 0.500 0.500
Cl 0.000 0.000 0.500
! Magnetization   0.00 μB/f.u.
! Formation energy without anion corrections   -2.23 eV/atom
! Symmetry   P4/mmm (123)